Crystalline CrIn2RuSe at its relaxed geometry, computed with PBE-GGA.

Computed properties:
final energy = -4.82 eV/atom
raw formation energy = 362 kJ/mol of formula units
total magnetization = 2.4 μB per formula unit
mass density = 6.54 g/cm³

a = 5.185 Å, b = 5.185 Å, c = 4.361 Å
α = 90.00°, β = 90.00°, γ = 90.00°
Sites, in units of the cell vectors:
1 Cr 0.000 0.000 0.000
2 In 0.000 0.500 0.000
3 In 0.500 0.000 0.000
4 Ru 0.000 0.000 0.500
5 Se 0.500 0.500 0.500